Entry from Alexandria via LeMat-Bulk: a geometry-optimized ZnCu4Bi structure (GGA-PBE).

Cell: 5.0717 5.0717 5.0717 Å, 60.00 60.00 60.00°
Element x y z (fractional)
Zn1 0.0000 0.0000 0.0000
Cu1 0.1213 0.6262 0.6262
Cu2 0.6262 0.1213 0.6262
Cu3 0.6262 0.6262 0.1213
Cu4 0.6262 0.6262 0.6262
Bi1 0.2500 0.2500 0.2500

Values from the calculation:
Space group: F-43m, No. 216
Formation energy, eV/atom: 0.11

Entry from Alexandria via LeMat-Bulk: a geometry-optimized SbTe2Rh structure (GGA-PBE).

Cell: 3.9273 5.4426 5.4426 Å, 60.36 90.00 90.00°
Element x y z (fractional)
Sb1 0.0000 0.0000 0.0000
Te1 0.0000 0.3803 0.3803
Te2 0.5000 0.7068 0.7068
Rh1 0.5000 0.1897 0.1897

Values from the calculation:
Space group: Amm2, No. 38
Uncorrected formation energy, eV/atom: -0.2063

Entry from Alexandria via LeMat-Bulk: a geometry-optimized HfPaBe2Ge2 structure (GGA-PBE).

Cell: 3.8234 3.8234 7.7417 Å, 90.00 90.00 120.00°
Element x y z (fractional)
Hf1 0.0000 0.0000 0.0000
Pa1 0.0000 0.0000 0.5000
Be1 0.3333 0.6667 0.2322
Be2 0.6667 0.3333 0.7678
Ge1 0.3333 0.6667 0.7672
Ge2 0.6667 0.3333 0.2328

Values from the calculation:
Space group: P-3m1, No. 164
Formation energy, eV/atom: -0.49

Entry from Alexandria via LeMat-Bulk: a geometry-optimized H2PtAu structure (GGA-PBE).

Cell: 7.0499 7.0499 7.0499 Å, 23.23 23.23 23.23°
Element x y z (fractional)
H1 0.0000 0.0000 0.0000
H2 0.2462 0.2462 0.2462
Pt1 0.6229 0.6229 0.6229
Au1 0.4577 0.4577 0.4577

Values from the calculation:
Space group: R3m, No. 160
Polymorph energy (0 for the lowest one), meV per atom: 23

Entry from Alexandria via LeMat-Bulk: a geometry-optimized K3Bi4Pd2 structure (GGA-PBE).

Cell: 7.1901 7.1901 10.2755 Å, 100.41 100.41 36.41°
Element x y z (fractional)
K1 0.0000 0.0000 0.0000
K2 0.3697 0.3697 0.5962
K3 0.6303 0.6303 0.4038
Bi1 0.0853 0.0853 0.6675
Bi2 0.2827 0.2827 0.8996
Bi3 0.7173 0.7173 0.1004
Bi4 0.9147 0.9147 0.3325
Pd1 0.3385 0.3385 0.1813
Pd2 0.6615 0.6615 0.8187

Values from the calculation:
Space group: C2/m, No. 12
Polymorph energy (0 for the lowest one), meV per atom: 0
Formation energy, eV/atom: -0.34

Entry from Alexandria via LeMat-Bulk: a geometry-optimized CsTl2Zn2F7 structure (GGA-PBE).

Cell: 9.3007 9.3007 9.3007 Å, 39.34 39.34 39.34°
Element x y z (fractional)
Cs1 0.0000 0.0000 0.0000
Tl1 0.2045 0.2045 0.2045
Tl2 0.7955 0.7955 0.7955
Zn1 0.4227 0.4227 0.4227
Zn2 0.5773 0.5773 0.5773
F1 0.0886 0.4479 0.6798
F2 0.3202 0.5521 0.9114
F3 0.4479 0.6798 0.0886
F4 0.5000 0.5000 0.5000
F5 0.5521 0.9114 0.3202
F6 0.6798 0.0886 0.4479
F7 0.9114 0.3202 0.5521

Values from the calculation:
Space group: R32, No. 155
Uncorrected formation energy, eV/atom: -2.1994

no.,magnetic moment (μB per cell)
1,0.00
2,0.00
3,0.00
4,0.00
5,0.00
6,0.00